[1]
An optimized crystal structure of MgMnZn2. Source: the Alexandria database, functional PBE.

Summary:
Its formation energy is 6.9 kJ/mol of formula units. Its space-group type is P4/mmm (123).

```
data_MgMnZn2
_space_group_name_H-M_alt 'P 1'
_space_group_IT_number 1
_cell_length_a 4.2211
_cell_length_b 4.2211
_cell_length_c 3.4682
_cell_angle_alpha 90.00
_cell_angle_beta 90.00
_cell_angle_gamma 90.00
loop_
_space_group_symop_operation_xyz
'x,y,z'
loop_
_atom_site_label
_atom_site_type_symbol
_atom_site_fract_x
_atom_site_fract_y
_atom_site_fract_z
Mg1 Mg 0.0000 0.0000 0.0000
Mn1 Mn 0.5000 0.5000 0.0000
Zn1 Zn 0.0000 0.5000 0.5000
Zn2 Zn 0.5000 0.0000 0.5000
```

[2]
An optimized crystal structure of IrSe3O. Source: the Alexandria database, functional PBE.

Summary:
The uncorrected formation energy is 1.082 eV/atom. Its space-group type is Pm-3m (221). Its energy above the most stable polymorph in this dataset is 0.1477 eV/atom.

```
data_IrSe3O
_space_group_name_H-M_alt 'P 1'
_space_group_IT_number 1
_cell_length_a 4.8617
_cell_length_b 4.8617
_cell_length_c 4.8617
_cell_angle_alpha 90.00
_cell_angle_beta 90.00
_cell_angle_gamma 90.00
loop_
_space_group_symop_operation_xyz
'x,y,z'
loop_
_atom_site_label
_atom_site_type_symbol
_atom_site_fract_x
_atom_site_fract_y
_atom_site_fract_z
Ir1 Ir 0.0000 0.0000 0.0000
Se1 Se 0.0000 0.0000 0.5000
Se2 Se 0.0000 0.5000 0.0000
Se3 Se 0.5000 0.0000 0.0000
O1 O 0.5000 0.5000 0.5000
```

[3]
An optimized crystal structure of La2AlZn3Ge4. Source: the Alexandria database, functional PBE.

Summary:
Its formation energy is -410.1 kJ/mol of formula units. Its space-group type is P-4m2 (115).

```
data_La2AlZn3Ge4
_space_group_name_H-M_alt 'P 1'
_space_group_IT_number 1
_cell_length_a 4.5764
_cell_length_b 4.5764
_cell_length_c 9.8350
_cell_angle_alpha 90.00
_cell_angle_beta 90.00
_cell_angle_gamma 90.00
loop_
_space_group_symop_operation_xyz
'x,y,z'
loop_
_atom_site_label
_atom_site_type_symbol
_atom_site_fract_x
_atom_site_fract_y
_atom_site_fract_z
La1 La 0.0000 0.5000 0.2437
La2 La 0.5000 0.0000 0.7563
Al1 Al 0.0000 0.0000 0.5000
Zn1 Zn 0.0000 0.5000 0.8776
Zn2 Zn 0.5000 0.0000 0.1224
Zn3 Zn 0.5000 0.5000 0.5000
Ge1 Ge 0.0000 0.0000 0.0000
Ge2 Ge 0.0000 0.5000 0.6265
Ge3 Ge 0.5000 0.0000 0.3735
Ge4 Ge 0.5000 0.5000 0.0000
```

[4]
An optimized crystal structure of BeSbHF2. Source: the Alexandria database, functional PBE.

Summary:
Its space-group type is P4/mmm (123). The energy is -0.1585 Ha/atom.

```
data_BeSbHF2
_space_group_name_H-M_alt 'P 1'
_space_group_IT_number 1
_cell_length_a 3.2437
_cell_length_b 3.2437
_cell_length_c 7.4832
_cell_angle_alpha 90.00
_cell_angle_beta 90.00
_cell_angle_gamma 90.00
loop_
_space_group_symop_operation_xyz
'x,y,z'
loop_
_atom_site_label
_atom_site_type_symbol
_atom_site_fract_x
_atom_site_fract_y
_atom_site_fract_z
Be1 Be 0.0000 0.0000 0.0000
Sb1 Sb 0.5000 0.5000 0.5000
H1 H 0.0000 0.0000 0.5000
F1 F 0.0000 0.5000 0.0000
F2 F 0.5000 0.0000 0.0000
```

[5]
An optimized crystal structure of Li2YAlH. Source: the Alexandria database, functional PBE.

Summary:
Its space-group type is P4/mmm (123). The energy is -0.1366 Ha/atom.

```
data_Li2YAlH
_space_group_name_H-M_alt 'P 1'
_space_group_IT_number 1
_cell_length_a 4.2546
_cell_length_b 4.2546
_cell_length_c 4.7382
_cell_angle_alpha 90.00
_cell_angle_beta 90.00
_cell_angle_gamma 90.00
loop_
_space_group_symop_operation_xyz
'x,y,z'
loop_
_atom_site_label
_atom_site_type_symbol
_atom_site_fract_x
_atom_site_fract_y
_atom_site_fract_z
Li1 Li 0.0000 0.5000 0.0000
Li2 Li 0.5000 0.0000 0.0000
Y1 Y 0.0000 0.0000 0.5000
Al1 Al 0.5000 0.5000 0.5000
H1 H 0.0000 0.0000 0.0000
```